#one
Below is crystalline Pr2SbH at its relaxed geometry, with properties calculated at the PBE level.

```
Pr2SbH
1.0
-0.3461 -2.7193 3.2932
-0.3524 -4.2083 -0.7245
6.3255 -2.8939 1.0627
Pr Sb H
2 1 1
Direct
0.7383 0.7383 0.7852
0.2617 0.2617 0.2148
0.5000 0.5000 0.5000
0.0000 0.0000 0.0000
```

Calculated values
Its space group is R-3m (166).

---

#two
Below is crystalline Pr2SbH at its relaxed geometry, with properties calculated at the PBE level.

```
Pr2SbH
1.0
-4.7861 3.0078 2.8089
-2.7719 -5.5743 1.2461
5.3640 0.2897 8.8297
Pr Sb H
8 4 4
Direct
0.7357 0.0799 0.9177
0.2643 0.9201 0.0823
0.7357 0.4201 0.5823
0.2643 0.5799 0.4177
0.8688 0.4895 0.1683
0.1312 0.5105 0.8317
0.8688 0.0105 0.3317
0.1312 0.9895 0.6683
0.3718 0.0841 0.3904
0.6282 0.9159 0.6096
0.3718 0.4159 0.1096
0.6282 0.5841 0.8904
0.0635 0.6177 0.6183
0.9365 0.3823 0.3817
0.0635 0.8823 0.8817
0.9365 0.1177 0.1183
```

Calculated values
Its space group is P2/c (13).

---

#one has the most favorable energy; the next structure is 28 meV per atom above.

---

#one
Below is crystalline PrSbH2 at its relaxed geometry, with properties calculated at the PBE level.

```
PrSbH2
1.0
3.7955 0.0000 0.0000
1.8977 3.2870 0.0000
1.8977 1.0957 5.6510
Pr Sb H
1 1 2
Direct
0.0000 0.0000 0.0000
0.5000 0.5000 0.5000
0.3003 0.3003 0.0992
0.6997 0.6997 0.9008
```

Calculated values
Its space group is R-3m (166).

---

#two
Below is crystalline PrSbH2 at its relaxed geometry, with properties calculated at the PBE level.

```
PrSbH2
1.0
-1.3775 3.3610 1.1802
-4.9711 -3.1726 -2.9215
-1.5004 -2.4432 5.2062
Pr Sb H
2 2 4
Direct
0.8162 0.6330 0.2500
0.1838 0.3670 0.7500
0.4571 0.9144 0.7500
0.5429 0.0856 0.2500
0.2664 0.5328 0.4247
0.7336 0.4672 0.5753
0.2664 0.5328 0.0753
0.7336 0.4672 0.9247
```

Calculated values
Its space group is P2_1/m (11).

---

#two has the most favorable energy; the next structure is 83 meV per atom above.